# NiP2HO

A relaxed NiP2HO crystal (PBE+U, Alexandria).

Cell lengths 4.4555, 4.4555, 3.4725 Å; angles 90.00, 90.00, 90.00 degrees
Positions (direct):
Ni 0.0000 0.0000 0.0000
H 0.5000 0.5000 0.5000
O 0.0000 0.0000 0.5000
P 0.0000 0.5000 0.0000
P 0.5000 0.0000 0.0000

Summary:
The value obtained for the energy relative to the lowest polymorph listed for this composition is 94 meV/atom. As for the density: 3.316 g cm⁻³. The calculation puts the total energy at -16.517 eV/cell. The crystal system is tetragonal.